VASP calculation (PBE) on LiNdTmAl after structural relaxation.

Cell: 5.202 5.202 5.202 Å, 60.00 60.00 60.00°
Fractional coordinates of all 4 atoms:
Li (0.000, 0.000, 0.000)
Nd (0.250, 0.250, 0.250)
Tm (0.750, 0.750, 0.750)
Al (0.500, 0.500, 0.500)

Its crystal system is cubic. The calculation puts the total magnetic moment at 0.0 μB/cell. Its formation energy is -0.195 eV per atom.

=====

VASP calculation (PBE) on LiNd2Al3Zn4 after structural relaxation.

Cell: 4.358 4.358 10.374 Å, 90.00 90.00 90.00°
Fractional coordinates of all 10 atoms:
Li (0.000, 0.000, 0.000)
Nd (0.000, 0.500, 0.744)
Nd (0.500, 0.000, 0.256)
Al (0.000, 0.500, 0.365)
Al (0.500, 0.000, 0.635)
Al (0.500, 0.500, 0.000)
Zn (0.000, 0.000, 0.500)
Zn (0.000, 0.500, 0.127)
Zn (0.500, 0.000, 0.873)
Zn (0.500, 0.500, 0.500)

Its crystal system is tetragonal. The calculation puts the total magnetic moment at 0.0 μB/cell. Its formation energy is -0.348 eV per atom.

=====

VASP calculation (PBE) on Li2NdAlZn4 after structural relaxation.

Cell: 9.337 9.337 9.337 Å, 26.80 26.80 26.80°
Fractional coordinates of all 8 atoms:
Li (0.231, 0.231, 0.231)
Li (0.769, 0.769, 0.769)
Nd (0.000, 0.000, 0.000)
Al (0.500, 0.500, 0.500)
Zn (0.123, 0.123, 0.123)
Zn (0.402, 0.402, 0.402)
Zn (0.598, 0.598, 0.598)
Zn (0.877, 0.877, 0.877)

Its crystal system is trigonal. The calculation puts the total magnetic moment at 0.0 μB/cell. Its formation energy is -0.198 eV per atom.

=====

VASP calculation (PBE) on LiNd4Al2Zn after structural relaxation.

Cell: 9.152 9.152 9.152 Å, 33.58 33.58 33.58°
Fractional coordinates of all 8 atoms:
Li (0.000, 0.000, 0.000)
Nd (0.128, 0.128, 0.128)
Nd (0.378, 0.378, 0.378)
Nd (0.622, 0.622, 0.622)
Nd (0.872, 0.872, 0.872)
Al (0.253, 0.253, 0.253)
Al (0.747, 0.747, 0.747)
Zn (0.500, 0.500, 0.500)

Its crystal system is trigonal. The calculation puts the total magnetic moment at 0.0 μB/cell. Its formation energy is -0.275 eV per atom.

=====

VASP calculation (PBE) on LiNd2Al4Zn3 after structural relaxation.

Cell: 4.276 4.276 10.777 Å, 90.00 90.00 90.00°
Fractional coordinates of all 10 atoms:
Li (0.000, 0.000, 0.000)
Nd (0.000, 0.500, 0.748)
Nd (0.500, 0.000, 0.252)
Al (0.000, 0.000, 0.500)
Al (0.000, 0.500, 0.131)
Al (0.500, 0.000, 0.869)
Al (0.500, 0.500, 0.500)
Zn (0.000, 0.500, 0.362)
Zn (0.500, 0.000, 0.638)
Zn (0.500, 0.500, 0.000)

Its crystal system is tetragonal. The calculation puts the total magnetic moment at 0.0 μB/cell. Its formation energy is -0.363 eV per atom.

=====

VASP calculation (PBE) on LiAl3Ni3 after structural relaxation.

Cell: 5.815 5.815 5.540 Å, 90.00 90.00 93.42°
Fractional coordinates of all 14 atoms:
Li (0.160, 0.160, 0.000)
Li (0.840, 0.840, 0.000)
Al (0.000, 0.500, 0.252)
Al (0.000, 0.500, 0.748)
Al (0.500, 0.000, 0.252)
Al (0.500, 0.000, 0.748)
Al (0.500, 0.500, 0.257)
Al (0.500, 0.500, 0.743)
Ni (0.233, 0.233, 0.500)
Ni (0.244, 0.756, 0.500)
Ni (0.271, 0.729, 0.000)
Ni (0.729, 0.271, 0.000)
Ni (0.756, 0.244, 0.500)
Ni (0.767, 0.767, 0.500)

Its crystal system is orthorhombic. The calculation puts the total magnetic moment at 0.0 μB/cell. Its formation energy is -0.369 eV per atom.

=====

VASP calculation (PBE) on LiAl6Ni12 after structural relaxation.

Cell: 6.104 6.104 6.104 Å, 90.95 90.95 90.95°
Fractional coordinates of all 19 atoms:
Li (0.000, 0.000, 0.000)
Al (0.119, 0.732, 0.292)
Al (0.268, 0.708, 0.881)
Al (0.292, 0.119, 0.732)
Al (0.708, 0.881, 0.268)
Al (0.732, 0.292, 0.119)
Al (0.881, 0.268, 0.708)
Ni (0.031, 0.143, 0.360)
Ni (0.143, 0.360, 0.031)
Ni (0.208, 0.460, 0.555)
Ni (0.360, 0.031, 0.143)
Ni (0.445, 0.792, 0.540)
Ni (0.460, 0.555, 0.208)
Ni (0.540, 0.445, 0.792)
Ni (0.555, 0.208, 0.460)
Ni (0.640, 0.969, 0.857)
Ni (0.792, 0.540, 0.445)
Ni (0.857, 0.640, 0.969)
Ni (0.969, 0.857, 0.640)

Its crystal system is trigonal. The calculation puts the total magnetic moment at 0.0 μB/cell. Its formation energy is -0.299 eV per atom.

=====

VASP calculation (PBE) on Li2AlNi after structural relaxation.

Cell: 4.564 4.564 4.705 Å, 103.45 103.45 34.99°
Fractional coordinates of all 4 atoms:
Li (0.000, 0.000, 0.000)
Li (0.237, 0.237, 0.815)
Al (0.769, 0.769, 0.350)
Ni (0.506, 0.506, 0.482)

Its crystal system is monoclinic. The calculation puts the total magnetic moment at 0.0 μB/cell. Its formation energy is -0.172 eV per atom.

=====

VASP calculation (PBE) on LiAl4Ni7 after structural relaxation.

Cell: 5.058 5.058 8.856 Å, 114.98 114.98 49.38°
Fractional coordinates of all 12 atoms:
Li (0.000, 0.000, 0.000)
Al (0.262, 0.262, 0.684)
Al (0.403, 0.403, 0.223)
Al (0.597, 0.597, 0.777)
Al (0.738, 0.738, 0.316)
Ni (0.053, 0.053, 0.356)
Ni (0.212, 0.212, 0.919)
Ni (0.357, 0.357, 0.475)
Ni (0.500, 0.500, 0.000)
Ni (0.643, 0.643, 0.525)
Ni (0.788, 0.788, 0.081)
Ni (0.947, 0.947, 0.644)

Its crystal system is monoclinic. The calculation puts the total magnetic moment at 0.0 μB/cell. Its formation energy is -0.246 eV per atom.

=====

VASP calculation (PBE) on LiAl8Ni2 after structural relaxation.

Cell: 6.488 6.488 4.501 Å, 97.12 97.12 107.32°
Fractional coordinates of all 11 atoms:
Li (0.000, 0.000, 0.000)
Al (0.076, 0.331, 0.600)
Al (0.266, 0.734, 0.000)
Al (0.331, 0.076, 0.600)
Al (0.375, 0.375, 0.205)
Al (0.625, 0.625, 0.795)
Al (0.669, 0.924, 0.400)
Al (0.734, 0.266, 0.000)
Al (0.924, 0.669, 0.400)
Ni (0.308, 0.692, 0.500)
Ni (0.692, 0.308, 0.500)

Its crystal system is monoclinic. The calculation puts the total magnetic moment at 0.0 μB/cell. Its formation energy is -0.236 eV per atom.

=====

VASP calculation (PBE) on Li3Al4Ni after structural relaxation.

Cell: 7.490 7.490 4.093 Å, 105.67 105.67 31.72°
Fractional coordinates of all 8 atoms:
Li (0.000, 0.000, 0.000)
Li (0.250, 0.250, 0.250)
Li (0.750, 0.750, 0.750)
Al (0.110, 0.110, 0.609)
Al (0.390, 0.390, 0.890)
Al (0.610, 0.610, 0.110)
Al (0.890, 0.890, 0.391)
Ni (0.500, 0.500, 0.500)

Its crystal system is monoclinic. The calculation puts the total magnetic moment at 0.0 μB/cell. Its formation energy is -0.250 eV per atom.

=====

VASP calculation (PBE) on Li2AlNi after structural relaxation.

Cell: 2.676 2.676 7.751 Å, 90.00 90.00 90.00°
Fractional coordinates of all 4 atoms:
Li (0.000, 0.000, 0.221)
Li (0.000, 0.000, 0.779)
Al (0.500, 0.500, 0.500)
Ni (0.500, 0.500, 0.000)

Its crystal system is tetragonal. The calculation puts the total magnetic moment at 0.0 μB/cell. Its formation energy is 0.019 eV per atom.

=====

VASP calculation (PBE) on Li2AlNi after structural relaxation.

Cell: 2.813 2.813 7.408 Å, 90.00 90.00 90.00°
Fractional coordinates of all 4 atoms:
Li (0.000, 0.000, 0.000)
Li (0.500, 0.500, 0.311)
Al (0.500, 0.500, 0.727)
Ni (0.000, 0.000, 0.538)

Its crystal system is tetragonal. The calculation puts the total magnetic moment at 0.0 μB/cell. Its formation energy is -0.217 eV per atom.

=====

VASP calculation (PBE) on LiAlNi4 after structural relaxation.

Cell: 4.613 4.613 4.968 Å, 121.34 121.34 51.43°
Fractional coordinates of all 6 atoms:
Li (0.000, 0.000, 0.000)
Al (0.000, 0.000, 0.500)
Ni (0.331, 0.331, 0.483)
Ni (0.335, 0.335, 0.988)
Ni (0.665, 0.665, 0.012)
Ni (0.669, 0.669, 0.517)

Its crystal system is monoclinic. As for the energy above the most stable polymorph in this dataset: 0 meV per atom. The calculation puts the total magnetic moment at 0.0 μB/cell. Its formation energy is -0.192 eV per atom.

=====

VASP calculation (PBE) on LiAl2Ni2 after structural relaxation.

Cell: 7.028 7.028 2.678 Å, 90.00 90.00 90.00°
Fractional coordinates of all 10 atoms:
Li (0.000, 0.000, 0.000)
Li (0.500, 0.500, 0.000)
Al (0.143, 0.357, 0.000)
Al (0.357, 0.857, 0.000)
Al (0.643, 0.143, 0.000)
Al (0.857, 0.643, 0.000)
Ni (0.153, 0.653, 0.500)
Ni (0.347, 0.153, 0.500)
Ni (0.653, 0.847, 0.500)
Ni (0.847, 0.347, 0.500)

Its crystal system is tetragonal. As for the energy above the most stable polymorph in this dataset: 15 meV per atom. The calculation puts the total magnetic moment at 0.0 μB/cell. Its formation energy is -0.487 eV per atom.

=====

VASP calculation (PBE) on Li4AlNi after structural relaxation.

Cell: 4.832 4.832 4.832 Å, 60.00 60.00 60.00°
Fractional coordinates of all 6 atoms:
Li (0.124, 0.124, 0.124)
Li (0.124, 0.124, 0.628)
Li (0.124, 0.628, 0.124)
Li (0.628, 0.124, 0.124)
Al (0.500, 0.500, 0.500)
Ni (0.750, 0.750, 0.750)

Its crystal system is cubic. The calculation puts the total magnetic moment at 0.0 μB/cell. Its formation energy is 0.087 eV per atom.

=====

VASP calculation (PBE) on LiAlNi5 after structural relaxation.

Cell: 3.444 3.444 7.159 Å, 90.00 90.00 90.00°
Fractional coordinates of all 7 atoms:
Li (0.000, 0.000, 0.000)
Al (0.500, 0.500, 0.500)
Ni (0.000, 0.500, 0.252)
Ni (0.000, 0.500, 0.748)
Ni (0.500, 0.000, 0.252)
Ni (0.500, 0.000, 0.748)
Ni (0.500, 0.500, 0.000)

Its crystal system is tetragonal. The calculation puts the total magnetic moment at 1.3 μB/cell. Its formation energy is 0.004 eV per atom.

=====

VASP calculation (PBE) on Li2Al5Ni2 after structural relaxation.

Cell: 7.479 7.479 6.532 Å, 90.00 90.00 51.51°
Fractional coordinates of all 18 atoms:
Li (0.216, 0.216, 0.000)
Li (0.284, 0.284, 0.500)
Li (0.716, 0.716, 0.500)
Li (0.784, 0.784, 0.000)
Al (0.000, 0.000, 0.000)
Al (0.043, 0.730, 0.660)
Al (0.230, 0.543, 0.160)
Al (0.270, 0.957, 0.660)
Al (0.457, 0.770, 0.160)
Al (0.500, 0.500, 0.500)
Al (0.543, 0.230, 0.840)
Al (0.730, 0.043, 0.340)
Al (0.770, 0.457, 0.840)
Al (0.957, 0.270, 0.340)
Ni (0.140, 0.860, 0.360)
Ni (0.360, 0.640, 0.860)
Ni (0.640, 0.360, 0.140)
Ni (0.860, 0.140, 0.640)

Its crystal system is orthorhombic. The calculation puts the total magnetic moment at 0.0 μB/cell. Its formation energy is -0.179 eV per atom.

=====

VASP calculation (PBE) on LiAlNi4 after structural relaxation.

Cell: 4.697 4.697 4.697 Å, 60.00 60.00 60.00°
Fractional coordinates of all 6 atoms:
Li (0.000, 0.000, 0.000)
Al (0.250, 0.250, 0.250)
Ni (0.125, 0.625, 0.625)
Ni (0.625, 0.125, 0.625)
Ni (0.625, 0.625, 0.125)
Ni (0.625, 0.625, 0.625)

Its crystal system is cubic. As for the energy above the most stable polymorph in this dataset: 12 meV per atom. The calculation puts the total magnetic moment at 1.0 μB/cell. Its formation energy is -0.181 eV per atom.

=====

VASP calculation (PBE) on LiAlNi4 after structural relaxation.

Cell: 4.399 4.399 7.003 Å, 113.51 113.51 33.87°
Fractional coordinates of all 6 atoms:
Li (0.000, 0.000, 0.000)
Al (0.000, 0.000, 0.500)
Ni (0.327, 0.327, 0.169)
Ni (0.337, 0.337, 0.663)
Ni (0.663, 0.663, 0.337)
Ni (0.673, 0.673, 0.831)

Its crystal system is monoclinic. As for the energy above the most stable polymorph in this dataset: 4 meV per atom. The calculation puts the total magnetic moment at 0.2 μB/cell. Its formation energy is -0.188 eV per atom.